Computed, not measured: crystalline BaGaAgO3 at its relaxed geometry at the PBE-GGA level of DFT.

Values from the calculation:
E, eV/atom: -5.296
Space group: No. 12

Geometry as extended XYZ:
```
12
Lattice="5.103 -3.237 0.000 5.103 3.237 0.000 -3.068 0.000 6.236" Properties=species:S:1:pos:R:3 pbc="T T T"
Ba 1.491 0.000 1.064
Ba 5.647 0.000 5.172
Ga 2.108 0.000 4.720
Ga 5.030 0.000 1.516
Ag 3.569 1.844 3.118
Ag 3.569 -1.844 3.118
O 4.070 1.499 1.022
O 0.639 0.000 3.724
O 3.067 1.499 5.213
O 4.070 -1.499 1.022
O 6.498 0.000 2.512
O 3.067 -1.499 5.213
```


Computed, not measured: crystalline BaGaAg2P at its relaxed geometry at the PBE-GGA level of DFT.

Values from the calculation:
E, eV/atom: -2.225
Space group: No. 123
Formation energy from the elements, kJ/mol of formula units: 476

Geometry as extended XYZ:
```
5
Lattice="6.130 0.000 0.000 0.000 6.130 0.000 0.000 0.000 5.634" Properties=species:S:1:pos:R:3 pbc="T T T"
Ba 0.000 0.000 0.000
Ga 3.065 3.065 2.817
Ag 0.000 3.065 0.000
Ag 3.065 0.000 0.000
P 0.000 0.000 2.817
```


Computed, not measured: crystalline Ba2GaAgPd at its relaxed geometry at the PBE-GGA level of DFT.

Values from the calculation:
E, eV/atom: -3.294
Space group: No. 123
Formation energy from the elements, kJ/mol of formula units: -150

Geometry as extended XYZ:
```
5
Lattice="6.144 0.000 0.000 0.000 6.144 0.000 0.000 0.000 4.819" Properties=species:S:1:pos:R:3 pbc="T T T"
Ba 0.000 3.072 0.000
Ba 3.072 0.000 0.000
Ga 0.000 0.000 2.410
Ag 3.072 3.072 2.410
Pd 0.000 0.000 0.000
```


Computed, not measured: crystalline Ba2Ga3AgPd4 at its relaxed geometry at the PBE-GGA level of DFT.

Values from the calculation:
E, eV/atom: -4.242
Space group: No. 115
Formation energy from the elements, kJ/mol of formula units: -567

Geometry as extended XYZ:
```
10
Lattice="4.594 0.000 0.000 0.000 4.594 0.000 0.000 0.000 10.507" Properties=species:S:1:pos:R:3 pbc="T T T"
Ba 0.000 2.297 2.609
Ba 2.297 0.000 7.898
Ga 0.000 2.297 9.330
Ga 2.297 0.000 1.178
Ga 2.297 2.297 5.254
Ag 0.000 0.000 5.254
Pd 0.000 0.000 0.000
Pd 0.000 2.297 6.745
Pd 2.297 0.000 3.762
Pd 2.297 2.297 0.000
```


Computed, not measured: crystalline Ba2Ga6AgPd at its relaxed geometry at the PBE-GGA level of DFT.

Values from the calculation:
E, eV/atom: -3.192
Space group: No. 12
Formation energy from the elements, kJ/mol of formula units: -180

Geometry as extended XYZ:
```
10
Lattice="5.055 -5.056 0.000 5.055 5.056 0.000 -5.016 0.000 5.071" Properties=species:S:1:pos:R:3 pbc="T T T"
Ba 5.055 2.528 0.000
Ba 5.055 -2.528 0.000
Ga -0.021 0.000 2.531
Ga -2.490 0.000 5.029
Ga 2.547 2.568 2.535
Ga 2.547 -2.568 2.535
Ga 7.584 0.000 0.041
Ga 5.114 0.000 2.539
Ag 2.547 0.000 2.535
Pd -2.508 0.000 2.535
```


Computed, not measured: crystalline BaGa2AgPd at its relaxed geometry at the PBE-GGA level of DFT.

Values from the calculation:
E, eV/atom: -3.550
Space group: No. 123
Formation energy from the elements, kJ/mol of formula units: -167

Geometry as extended XYZ:
```
5
Lattice="4.859 0.000 0.000 0.000 4.859 0.000 0.000 0.000 5.369" Properties=species:S:1:pos:R:3 pbc="T T T"
Ba 0.000 0.000 0.000
Ga 0.000 2.429 2.684
Ga 2.429 0.000 2.684
Ag 2.429 2.429 0.000
Pd 2.429 2.429 2.684
```


Computed, not measured: crystalline BaPmGaAg at its relaxed geometry at the PBE-GGA level of DFT.

Values from the calculation:
E, eV/atom: -3.366
Space group: No. 216
Formation energy from the elements, kJ/mol of formula units: -88

Geometry as extended XYZ:
```
4
Lattice="0.000 3.894 3.894 3.894 0.000 3.894 3.894 3.894 0.000" Properties=species:S:1:pos:R:3 pbc="T T T"
Ba 0.000 0.000 0.000
Pm 3.894 3.894 3.894
Ga 5.841 5.841 5.841
Ag 1.947 1.947 1.947
```


Computed, not measured: crystalline BaPrGaAg at its relaxed geometry at the PBE-GGA level of DFT.

Values from the calculation:
E, eV/atom: -3.384
Space group: No. 216
Formation energy from the elements, kJ/mol of formula units: -92

Geometry as extended XYZ:
```
4
Lattice="0.000 3.921 3.921 3.921 0.000 3.921 3.921 3.921 0.000" Properties=species:S:1:pos:R:3 pbc="T T T"
Ba 0.000 0.000 0.000
Pr 3.921 3.921 3.921
Ga 5.882 5.882 5.882
Ag 1.961 1.961 1.961
```